Run w
Crystalline CrPdNO at its relaxed geometry, computed with PBE+U.

```
data_CrPdNO
_chemical_formula_sum 'Cr1 Pd1 N1 O1'
_cell_length_a 2.8804
_cell_length_b 2.8804
_cell_length_c 6.3199
_cell_angle_alpha 90.00
_cell_angle_beta 90.00
_cell_angle_gamma 120.00
_symmetry_space_group_name_H-M 'P 1'
_symmetry_Int_Tables_number 1
_symmetry_space_group_name_Hall 'P 1'
loop_
_atom_site_label
_atom_site_type_symbol
_atom_site_fract_x
_atom_site_fract_y
_atom_site_fract_z
N1 N 0.3333 0.6667 0.2460
Pd1 Pd 0.3333 0.6667 0.5539
Cr1 Cr 0.0000 0.0000 0.0689
O1 O 0.3333 0.6667 0.8825
```

Results
The total magnetization comes out at 0.5227 μB/atom. The space group is P3m1. Its crystal system is trigonal.

---

Run x
Crystalline CrPdNO at its relaxed geometry, computed with PBE+U.

```
data_CrPdNO
_chemical_formula_sum 'Cr2 Pd2 N2 O2'
_cell_length_a 2.7302
_cell_length_b 2.8587
_cell_length_c 12.0954
_cell_angle_alpha 90.00
_cell_angle_beta 90.00
_cell_angle_gamma 90.00
_symmetry_space_group_name_H-M 'P 1'
_symmetry_Int_Tables_number 1
_symmetry_space_group_name_Hall 'P 1'
loop_
_atom_site_label
_atom_site_type_symbol
_atom_site_fract_x
_atom_site_fract_y
_atom_site_fract_z
N1 N 0.0000 0.5000 0.2082
N2 N 0.0000 0.0000 0.7082
Cr1 Cr 0.5000 0.5000 0.7660
Cr2 Cr 0.5000 0.0000 0.2660
Pd1 Pd 0.0000 0.5000 0.0458
Pd2 Pd 0.0000 0.0000 0.5458
O1 O 0.0000 0.0000 0.3781
O2 O 0.0000 0.5000 0.8781
```

Results
The total magnetization comes out at 0.4789 μB/atom. The space group is Amm2. Its crystal system is orthorhombic.

---

Energy above the most stable structure, in kJ/mol of atoms: run w 0.0; run x 7.9